Compound: MnGaAu4
Source: Alexandria via LeMat-Bulk
Functional: PBE
Structure: relaxed

a b c (Å): 5.6695 5.6741 7.0581
angles (deg): 90.32 105.90 106.43
Last column: nearest neighbours and their distance in Å.
Element x y z (fractional)
Au1 0.7636 0.5324 0.5101  2 Mn 2.75-2.77, 1 Ga 2.78, 7 Au 2.84-3.06
Au2 0.8971 0.6261 0.1272  3 Ga 2.77-2.86, 3 Mn 2.79-2.90, 6 Au 2.86-3.06
Au3 0.5410 0.8156 0.8483  3 Ga 2.70-3.00, 3 Mn 2.76-2.92, 3 Au 2.86-2.98
Au4 0.7654 0.0325 0.5315  2 Ga 2.72-2.95, 6 Au 2.83-2.97, 1 Mn 2.87
Au5 0.1029 0.3739 0.8728  3 Ga 2.77-2.86, 3 Mn 2.79-2.90, 6 Au 2.86-3.06
Au6 0.4590 0.1844 0.1517  3 Ga 2.70-3.00, 3 Mn 2.76-2.92, 3 Au 2.86-2.98
Au7 0.2364 0.4676 0.4899  2 Mn 2.75-2.77, 1 Ga 2.78, 7 Au 2.84-3.06
Au8 0.2346 0.9675 0.4685  2 Ga 2.72-2.95, 6 Au 2.83-2.97, 1 Mn 2.87
Mn1 0.4377 0.6879 0.2004  9 Au 2.75-2.92
Mn2 0.5623 0.3121 0.7996  9 Au 2.75-2.92
Ga1 0.9239 0.1326 0.1683  9 Au 2.70-3.00
Ga2 0.0761 0.8674 0.8317  9 Au 2.70-3.00

Output
D(E_F): 4.2 states/eV/cell
Total DFT energy (no corrections): -51.6 eV/cell
ΔE_f: -0.082 eV per atom



Compound: KP2
Source: Alexandria via LeMat-Bulk
Functional: PBE
Structure: relaxed

a b c (Å): 4.8288 4.8288 4.8288
angles (deg): 60.00 60.00 60.00
Last column: nearest neighbours and their distance in Å.
Element x y z (fractional)
P1 0.2500 0.2500 0.2500  4 K 2.96
P2 0.7500 0.7500 0.7500  4 K 2.96
K1 0.0000 0.0000 0.0000  8 P 2.96

Output
D(E_F): 2.7 states/eV/cell
Total DFT energy (no corrections): -8.5 eV/cell
ΔE_f: 1.147 eV per atom



Compound: KPmH3
Source: Alexandria via LeMat-Bulk
Functional: PBE
Structure: relaxed

a b c (Å): 4.5151 4.5151 4.5151
angles (deg): 90.00 90.00 90.00
Last column: nearest neighbours and their distance in Å.
Element x y z (fractional)
H1 0.0000 0.0000 0.5000  2 Pm 2.26
H2 0.0000 0.5000 0.0000  2 Pm 2.26
H3 0.5000 0.0000 0.0000  2 Pm 2.26
Pm1 0.0000 0.0000 0.0000  6 H 2.26
K1 0.5000 0.5000 0.5000  12 H 3.19

Output
D(E_F): 1.9 states/eV/cell
Total DFT energy (no corrections): -17.2 eV/cell



Compound: LaY2US8
Source: Alexandria via LeMat-Bulk
Functional: PBE
Structure: relaxed

a b c (Å): 6.1918 5.9781 8.4635
angles (deg): 89.94 90.00 90.56
Last column: nearest neighbours and their distance in Å.
Element x y z (fractional)
S1 0.5610 0.7746 0.5000  2 Y 2.76, 1 S 2.81, 1 La 3.02
S2 0.3458 0.2436 0.0004  1 U 2.58, 2 Y 2.72
S3 0.4390 0.2254 0.5000  2 Y 2.76, 1 S 2.81, 1 La 3.02
S4 0.1280 0.7520 0.2258  1 U 2.55, 1 Y 2.77
S5 0.6542 0.7564 0.9996  1 U 2.58, 2 Y 2.72
S6 0.8720 0.2480 0.7742  1 U 2.55, 1 Y 2.77
S7 0.8712 0.2474 0.2254  1 U 2.55, 1 Y 2.77
S8 0.1288 0.7526 0.7746  1 U 2.55, 1 Y 2.77
Y1 0.4998 0.4995 0.7588  6 S 2.72-2.77
Y2 0.5002 0.5005 0.2412  6 S 2.72-2.77
U1 0.0000 0.0000 0.0000  6 S 2.55-2.58
La1 0.0000 0.0000 0.5000  6 S 2.87-3.02

Output
D(E_F): 1.5 states/eV/cell
Total DFT energy (no corrections): -80.5 eV/cell
ΔE_f (raw): -1.525 eV/atom



Compound: Li2PrAuN
Source: Alexandria via LeMat-Bulk
Functional: PBE
Structure: relaxed

a b c (Å): 6.1012 6.1012 6.5518
angles (deg): 117.75 117.75 90.00
Last column: nearest neighbours and their distance in Å.
Element x y z (fractional)
Li1 0.7495 0.2495 0.9997  2 N 2.16
Li2 0.2502 0.7502 0.9997  2 N 2.16
Li3 0.7502 0.7495 0.9997  2 N 2.16
Li4 0.2495 0.2502 0.9997  2 N 2.16
Au1 0.7505 0.2505 0.5010  4 Pr 3.05, 8 Li 3.27-3.28
Au2 0.2505 0.7505 0.5010  4 Pr 3.05, 8 Li 3.27-3.28
N1 0.0000 0.0000 0.0000  4 Li 2.16
N2 0.5000 0.5000 0.0000  4 Li 2.16
Pr1 0.7500 0.7500 0.5000  2 N 2.47
Pr2 0.2500 0.2500 0.5000  2 N 2.47

Output
D(E_F): 4.4 states/eV/cell
Total DFT energy (no corrections): -46.1 eV/cell
ΔE_f (raw): -0.572 eV/atom



Compound: Li2TaIr
Source: Alexandria via LeMat-Bulk
Functional: PBE
Structure: relaxed

a b c (Å): 5.3186 5.3186 5.3186
angles (deg): 139.82 139.82 58.13
Last column: nearest neighbours and their distance in Å.
Element x y z (fractional)
Li1 0.0000 0.0000 0.0000  4 Li 2.58
Li2 0.5000 0.5000 0.0000  4 Li 2.58
Ir1 0.7500 0.2500 0.5000  4 Ta 2.58
Ta1 0.2500 0.7500 0.5000  4 Ir 2.58

Output
D(E_F): 2.4 states/eV/cell
Total DFT energy (no corrections): -24.8 eV/cell
ΔE_f: -0.069 eV per atom



Compound: Tb2PrTh6
Source: Alexandria via LeMat-Bulk
Functional: PBE
Structure: relaxed

a b c (Å): 3.5484 3.5484 27.1528
angles (deg): 90.00 90.00 120.00
Last column: nearest neighbours and their distance in Å.
Element x y z (fractional)
Th1 0.3333 0.6667 0.1138  9 Th 3.55-3.57, 3 Pr 3.71
Th2 0.6667 0.3333 0.7787  9 Th 3.55-3.57, 3 Tb 3.61
Th3 0.6667 0.3333 0.4388  7 Th 3.32-3.55, 3 Tb 3.58
Th4 0.6667 0.3333 0.5612  7 Th 3.32-3.55, 3 Tb 3.58
Th5 0.6667 0.3333 0.2213  9 Th 3.55-3.57, 3 Tb 3.61
Th6 0.3333 0.6667 0.8862  9 Th 3.55-3.57, 3 Pr 3.71
Tb1 0.3333 0.6667 0.6693  6 Tb 3.55, 6 Th 3.58-3.61
Tb2 0.3333 0.6667 0.3307  6 Tb 3.55, 6 Th 3.58-3.61
Pr1 0.6667 0.3333 0.0000  6 Pr 3.55, 6 Th 3.71

Output
D(E_F): 13.5 states/eV/cell
Total DFT energy (no corrections): -57.7 eV/cell
ΔE_f: 0.090 eV per atom



Compound: LiZr3W
Source: Alexandria via LeMat-Bulk
Functional: PBE
Structure: relaxed

a b c (Å): 4.6203 4.6203 4.6203
angles (deg): 90.00 90.00 90.00
Last column: nearest neighbours and their distance in Å.
Element x y z (fractional)
W1 0.5000 0.5000 0.5000  12 Zr 3.27
Zr1 0.0000 0.5000 0.0000  2 Li 2.31
Zr2 0.0000 0.0000 0.5000  2 Li 2.31
Zr3 0.5000 0.0000 0.0000  2 Li 2.31
Li1 0.0000 0.0000 0.0000  6 Zr 2.31

Output
D(E_F): 8.5 states/eV/cell
Total DFT energy (no corrections): -35.1 eV/cell
ΔE_f: 1.080 eV per atom



Compound: Rb2ErPbF6
Source: Alexandria via LeMat-Bulk
Functional: PBE
Structure: relaxed

a b c (Å): 6.3194 7.7914 9.0436
angles (deg): 90.00 90.00 90.00
Last column: nearest neighbours and their distance in Å.
Element x y z (fractional)
Er1 0.0000 0.7780 0.0000  6 F 2.14-2.18
Er2 0.5000 0.2220 0.5000  6 F 2.14-2.18
Rb1 0.5000 0.8191 0.2360  9 F 3.00-3.21
Rb2 0.0000 0.1809 0.7360  9 F 3.00-3.21
Rb3 0.0000 0.1809 0.2640  9 F 3.00-3.21
Rb4 0.5000 0.8191 0.7640  9 F 3.00-3.21
F1 0.2349 0.9821 0.0000  1 Er 2.18
F2 0.5000 0.2049 0.7403  1 Er 2.18
F3 0.2651 0.0179 0.5000  1 Er 2.18
F4 0.7675 0.3914 0.5000  1 Er 2.14
F5 0.2675 0.6086 0.0000  1 Er 2.14
F6 0.7325 0.6086 0.0000  1 Er 2.14
F7 0.0000 0.7951 0.2403  1 Er 2.18
F8 0.7349 0.0179 0.5000  1 Er 2.18
F9 0.0000 0.7951 0.7597  1 Er 2.18
F10 0.7651 0.9821 0.0000  1 Er 2.18
F11 0.5000 0.2049 0.2597  1 Er 2.18
F12 0.2325 0.3914 0.5000  1 Er 2.14
Pb1 0.0000 0.6922 0.5000  4 F 2.48-2.77
Pb2 0.5000 0.3078 0.0000  4 F 2.48-2.77

Output
D(E_F): 0.4 states/eV/cell
Total DFT energy (no corrections): -102.2 eV/cell
ΔE_f (raw): -2.965 eV/atom



Compound: Ba2AgPRh
Source: Alexandria via LeMat-Bulk
Functional: PBE
Structure: relaxed

a b c (Å): 6.2106 6.2106 4.3688
angles (deg): 90.00 90.00 90.00
Last column: nearest neighbours and their distance in Å.
Element x y z (fractional)
Ag1 0.5000 0.5000 0.5000  8 Ba 3.80
Rh1 0.0000 0.0000 0.5000  2 P 2.18
P1 0.0000 0.0000 0.0000  2 Rh 2.18
Ba1 0.5000 0.0000 0.0000  2 P 3.11
Ba2 0.0000 0.5000 0.0000  2 P 3.11

Output
D(E_F): 2.7 states/eV/cell
Total DFT energy (no corrections): -21.8 eV/cell
ΔE_f: -0.468 eV per atom



Compound: LiLaTe
Source: Alexandria via LeMat-Bulk
Functional: PBE
Structure: relaxed

a b c (Å): 4.7615 4.7615 4.7615
angles (deg): 60.00 60.00 60.00
Last column: nearest neighbours and their distance in Å.
Element x y z (fractional)
Li1 0.7500 0.7500 0.7500  4 La 2.92, 4 Te 2.92
La1 0.5000 0.5000 0.5000  4 Li 2.92
Te1 0.0000 0.0000 0.0000  4 Li 2.92

Output
D(E_F): 2.2 states/eV/cell
Total DFT energy (no corrections): -12.1 eV/cell
ΔE_f (raw): -0.719 eV/atom



Compound: BaCdAs2Se
Source: Alexandria via LeMat-Bulk
Functional: PBE
Structure: relaxed

a b c (Å): 5.2042 5.2042 5.4885
angles (deg): 90.00 90.00 90.00
Last column: nearest neighbours and their distance in Å.
Element x y z (fractional)
Ba1 0.5000 0.5000 0.5000  4 Se 3.68, 8 As 3.78
As1 0.5000 0.0000 0.0000  2 Cd 2.60
As2 0.0000 0.5000 0.0000  2 Cd 2.60
Cd1 0.0000 0.0000 0.0000  4 As 2.60, 2 Se 2.74
Se1 0.0000 0.0000 0.5000  2 Cd 2.74

Output
D(E_F): 5.0 states/eV/cell
Total DFT energy (no corrections): -16.6 eV/cell
ΔE_f (raw): -0.194 eV/atom



Number 3 is which compound? KPmH3